Record 1
Below is a relaxed MoOs2Ru crystal, with properties calculated at the PBE-GGA level.

a b c (Å): 2.7500 4.2626 5.2381
angles (deg): 90.00 105.05 90.00
Closest atoms and distances in Å follow each position.
Space group Pm (No. 6)
Unique sites:
Mo (0.0000, 0.0000, 0.0000)  5 Os 2.55-2.78, 4 Ru 2.73-2.74, 2 Mo 2.75
Os (0.1375, 0.5000, 0.2772)  2 Mo 2.55, 3 Ru 2.63-2.79, 6 Os 2.73-2.75
Os (0.7362, 0.0000, 0.4776)  3 Mo 2.64-2.78, 6 Os 2.73-2.75
Ru (0.3984, 0.5000, 0.7970)  3 Os 2.63-2.79, 4 Mo 2.73-2.74, 2 Ru 2.75

Summary:
DFT formation energy: 0.17 eV/atom
Density: 16.2 g cm⁻³
Energy: -10.47 eV/atom
E above lowest polymorph: 4.28 kcal/mol of atoms

Record 2
Below is a relaxed MoOs2Ru crystal, with properties calculated at the PBE-GGA level.

a b c (Å): 6.2064 6.2064 6.2064
angles (deg): 90.00 90.00 90.00
Closest atoms and distances in Å follow each position.
Space group Fm-3m (No. 225)
Unique sites:
Mo (0.0000, 0.0000, 0.0000)  8 Os 2.69
Os (0.2500, 0.2500, 0.2500)  4 Ru 2.69, 4 Mo 2.69
Ru (0.0000, 0.0000, 0.5000)  8 Os 2.69

Summary:
DFT formation energy: 0.51 eV/atom
Density: 16.0 g cm⁻³
Energy: -10.14 eV/atom
E above lowest polymorph: 11.95 kcal/mol of atoms

Record 3
Below is a relaxed MoOsRu3 crystal, with properties calculated at the PBE-GGA level.

a b c (Å): 4.6379 4.6379 4.6379
angles (deg): 90.00 90.00 90.00
Closest atoms and distances in Å follow each position.
Space group Pm-3m (No. 221)
Unique sites:
Mo (0.0000, 0.0000, 0.0000)  12 Ru 3.28
Os (0.5000, 0.5000, 0.5000)  6 Ru 2.32
Ru (0.0000, 0.5000, 0.5000)  2 Os 2.32

Summary:
DFT formation energy: 1.96 eV/atom
Density: 9.8 g cm⁻³
Energy: -8.02 eV/atom
E above lowest polymorph: 45.82 kcal/mol of atoms

Record 4
Below is a relaxed MoOs4Ru crystal, with properties calculated at the PBE-GGA level.

a b c (Å): 7.1943 7.1943 7.1943
angles (deg): 90.00 90.00 90.00
Closest atoms and distances in Å follow each position.
Space group F-43m (No. 216)
Unique sites:
Mo (0.0000, 0.0000, 0.0000)  12 Os 2.98, 4 Ru 3.12
Os (0.1246, 0.1246, 0.3754)  6 Os 2.53-2.55
Ru (0.2500, 0.2500, 0.7500)  12 Os 2.98, 4 Mo 3.12

Summary:
DFT formation energy: 0.57 eV/atom
Density: 17.1 g cm⁻³
Energy: -10.27 eV/atom
E above lowest polymorph: 13.53 kcal/mol of atoms

Record 5
Below is a relaxed Mo3OsRu3 crystal, with properties calculated at the PBE-GGA level.

a b c (Å): 8.5419 8.5532 5.9988
angles (deg): 90.00 90.00 90.00
Closest atoms and distances in Å follow each position.
Space group Cmmm (No. 65)
Unique sites:
Mo (0.0000, 0.0000, 0.2485)  2 Os 2.76, 6 Ru 2.78-2.83, 6 Mo 2.98-3.02
Mo (0.2500, 0.2500, 0.2504)  6 Ru 2.62, 2 Os 2.62
Os (0.2285, 0.5000, 0.0000)  6 Mo 2.62-2.76, 2 Ru 2.70
Ru (0.0000, 0.2726, 0.5000)  6 Mo 2.62-2.78, 2 Ru 2.72
Ru (0.0000, 0.2814, 0.0000)  6 Mo 2.62-2.83, 2 Os 2.70
Ru (0.2218, 0.5000, 0.5000)  6 Mo 2.62-2.81, 2 Ru 2.72

Summary:
DFT formation energy: 0.28 eV/atom
Density: 11.8 g cm⁻³
Energy: -9.94 eV/atom

Record 6
Below is a relaxed MoOs2Ru2 crystal, with properties calculated at the PBE-GGA level.

a b c (Å): 7.3855 7.3855 2.7576
angles (deg): 90.00 90.00 90.00
Closest atoms and distances in Å follow each position.
Space group P4/mbm (No. 127)
Unique sites:
Mo (0.0000, 0.0000, 0.0000)  2 Mo 2.76, 4 Ru 2.93, 8 Os 3.06
Os (0.1723, 0.3277, 0.5000)  6 Ru 2.54-2.61, 2 Os 2.76
Ru (0.1236, 0.6236, 0.0000)  6 Os 2.54-2.61, 3 Ru 2.58-2.76

Summary:
DFT formation energy: 0.27 eV/atom
Density: 15.0 g cm⁻³
Energy: -10.09 eV/atom
E above lowest polymorph: 0.14 kcal/mol of atoms

Record 7
Below is a relaxed MoOs3Ru crystal, with properties calculated at the PBE-GGA level.

a b c (Å): 4.6122 4.6122 4.6122
angles (deg): 90.00 90.00 90.00
Closest atoms and distances in Å follow each position.
Space group Pm-3m (No. 221)
Unique sites:
Mo (0.0000, 0.0000, 0.0000)  12 Os 3.26
Os (0.0000, 0.5000, 0.5000)  2 Ru 2.31
Ru (0.5000, 0.5000, 0.5000)  6 Os 2.31

Summary:
DFT formation energy: 2.45 eV/atom
Density: 13.0 g cm⁻³
Energy: -8.31 eV/atom
E above lowest polymorph: 45.14 kcal/mol of atoms

Record 8
Below is a relaxed MoOs2Ru6 crystal, with properties calculated at the PBE-GGA level.

a b c (Å): 2.7378 6.7379 7.2574
angles (deg): 76.69 79.20 89.93
Closest atoms and distances in Å follow each position.
Space group P-1 (No. 2)
Unique sites:
Mo (0.0000, 0.0000, 0.0000)  6 Ru 2.71-2.77, 4 Os 2.73-2.74, 2 Mo 2.74
Os (0.4070, 0.6600, 0.1880)  8 Ru 2.64-2.75, 2 Mo 2.73-2.74, 2 Os 2.74
Ru (0.0744, 0.6625, 0.8537)  4 Os 2.64-2.75, 7 Ru 2.65-2.77, 1 Mo 2.71
Ru (0.2570, 0.3366, 0.4834)  9 Ru 2.64-2.77, 3 Os 2.65-2.72
Ru (0.3314, 0.9992, 0.3376)  9 Ru 2.69-2.74, 1 Os 2.74, 2 Mo 2.77

Summary:
DFT formation energy: 0.01 eV/atom
Density: 14.1 g cm⁻³
Energy: -9.87 eV/atom

Record 9
Below is a relaxed MoOsRu2 crystal, with properties calculated at the PBE-GGA level.

a b c (Å): 6.1939 6.1939 6.1939
angles (deg): 90.00 90.00 90.00
Closest atoms and distances in Å follow each position.
Space group Fm-3m (No. 225)
Unique sites:
Mo (0.0000, 0.0000, 0.0000)  8 Ru 2.68
Os (0.0000, 0.0000, 0.5000)  8 Ru 2.68
Ru (0.2500, 0.2500, 0.2500)  4 Mo 2.68, 4 Os 2.68

Summary:
DFT formation energy: 0.51 eV/atom
Density: 13.6 g cm⁻³
Energy: -9.64 eV/atom
E above lowest polymorph: 12.35 kcal/mol of atoms

Record 10
Below is a relaxed MoOs2Ru crystal, with properties calculated at the PBE-GGA level.

a b c (Å): 3.8689 3.8689 7.7954
angles (deg): 90.00 90.00 90.00
Closest atoms and distances in Å follow each position.
Space group I-4m2 (No. 119)
Unique sites:
Mo (0.0000, 0.0000, 0.0000)  8 Os 2.74-2.75, 4 Ru 2.75
Os (0.0000, 0.0000, 0.5000)  4 Mo 2.74, 4 Ru 2.75, 4 Os 2.75
Os (0.0000, 0.5000, 0.7500)  4 Ru 2.74, 4 Mo 2.75, 4 Os 2.75
Ru (0.0000, 0.5000, 0.2500)  8 Os 2.74-2.75, 4 Mo 2.75

Summary:
DFT formation energy: 0.04 eV/atom
Density: 16.4 g cm⁻³
Energy: -10.60 eV/atom
E above lowest polymorph: 1.25 kcal/mol of atoms

Record 11
Below is a relaxed MoOs6Ru2 crystal, with properties calculated at the PBE-GGA level.

a b c (Å): 8.4129 8.4662 7.6254
angles (deg): 90.00 90.00 90.00
Closest atoms and distances in Å follow each position.
Space group Ibam (No. 72)
Unique sites:
Mo (0.0000, 0.0000, 0.2500)  4 Ru 2.67, 4 Os 2.69
Os (0.1522, 0.3477, 0.1821)  7 Os 2.55-2.78, 3 Ru 2.64-2.78
Os (0.2120, 0.0742, 0.0000)  3 Ru 2.58-2.66, 6 Os 2.63-2.76, 2 Mo 2.69
Ru (0.0741, 0.2079, 0.5000)  9 Os 2.58-2.78, 2 Mo 2.67

Summary:
DFT formation energy: 0.24 eV/atom
Density: 17.6 g cm⁻³
Energy: -10.51 eV/atom

Record 12
Below is a relaxed Mo2OsRu crystal, with properties calculated at the PBE-GGA level.

a b c (Å): 9.1925 2.7751 4.7911
angles (deg): 90.00 99.88 90.00
Closest atoms and distances in Å follow each position.
Space group Cm (No. 8)
Unique sites:
Mo (0.0000, 0.0000, 0.0000)  4 Os 2.72-2.82, 5 Mo 2.75-2.90, 3 Ru 2.75-2.76
Mo (0.2378, 0.0000, 0.7231)  4 Ru 2.72-2.83, 3 Os 2.74-2.76, 5 Mo 2.75-2.90
Os (0.4880, 0.0000, 0.4838)  3 Ru 2.69-2.85, 7 Mo 2.72-2.82, 2 Os 2.78
Ru (0.2495, 0.5000, 0.2402)  3 Os 2.69-2.85, 7 Mo 2.72-2.83, 2 Ru 2.78

Summary:
DFT formation energy: 0.09 eV/atom
Density: 13.3 g cm⁻³
Energy: -10.46 eV/atom
E above lowest polymorph: 0.77 kcal/mol of atoms

Record 13
Below is a relaxed MoOs2Ru crystal, with properties calculated at the PBE-GGA level.

a b c (Å): 8.9313 4.7353 5.5815
angles (deg): 90.00 90.00 90.00
Closest atoms and distances in Å follow each position.
Space group Pna2_1 (No. 33)
Unique sites:
Mo (0.1171, 0.1636, 0.0000)  7 Os 2.62-2.79, 4 Ru 2.67-2.75
Os (0.1182, 0.1653, 0.5006)  3 Mo 2.62-2.79, 4 Ru 2.67-2.76, 4 Os 2.67-2.75
Os (0.1209, 0.6645, 0.7511)  3 Ru 2.65-2.80, 4 Mo 2.67-2.75, 4 Os 2.67-2.75
Ru (0.1199, 0.6631, 0.2494)  7 Os 2.65-2.80, 4 Mo 2.67-2.75

Summary:
DFT formation energy: 0.13 eV/atom
Density: 16.2 g cm⁻³
Energy: -10.52 eV/atom
E above lowest polymorph: 3.19 kcal/mol of atoms

Record 14
Below is a relaxed Mo2OsRu crystal, with properties calculated at the PBE-GGA level.

a b c (Å): 6.2414 6.2414 6.2414
angles (deg): 90.00 90.00 90.00
Closest atoms and distances in Å follow each position.
Space group Fm-3m (No. 225)
Unique sites:
Mo (0.2500, 0.2500, 0.2500)  4 Os 2.70, 4 Ru 2.70
Os (0.0000, 0.0000, 0.0000)  8 Mo 2.70
Ru (0.0000, 0.0000, 0.5000)  8 Mo 2.70

Summary:
DFT formation energy: 0.34 eV/atom
Density: 13.2 g cm⁻³
Energy: -10.20 eV/atom
E above lowest polymorph: 6.64 kcal/mol of atoms

Record 15
Below is a relaxed MoOs2Ru crystal, with properties calculated at the PBE-GGA level.

a b c (Å): 3.8674 3.8674 3.8997
angles (deg): 90.00 90.00 90.00
Closest atoms and distances in Å follow each position.
Space group P4/mmm (No. 123)
Unique sites:
Mo (0.0000, 0.0000, 0.0000)  4 Ru 2.73, 8 Os 2.75
Os (0.0000, 0.5000, 0.5000)  4 Os 2.73, 4 Mo 2.75, 4 Ru 2.75
Ru (0.5000, 0.5000, 0.0000)  4 Mo 2.73, 8 Os 2.75

Summary:
DFT formation energy: 0.02 eV/atom
Density: 16.4 g cm⁻³
Energy: -10.62 eV/atom
E above lowest polymorph: 0.84 kcal/mol of atoms

Record 16
Below is a relaxed MoOsRu2 crystal, with properties calculated at the PBE-GGA level.

a b c (Å): 4.7520 2.7471 9.0365
angles (deg): 90.00 100.17 90.00
Closest atoms and distances in Å follow each position.
Space group Cm (No. 8)
Unique sites:
Mo (0.0000, 0.0000, 0.0000)  6 Mo 2.74-2.75, 6 Ru 2.78-2.79
Os (0.1672, 0.0000, 0.4972)  6 Ru 2.65-2.69, 6 Os 2.74-2.75
Ru (0.0827, 0.5000, 0.7419)  3 Os 2.69, 6 Ru 2.74-2.75, 3 Mo 2.78-2.79
Ru (0.4200, 0.0000, 0.2584)  3 Os 2.65, 6 Ru 2.74-2.75, 3 Mo 2.79

Summary:
DFT formation energy: 0.06 eV/atom
Density: 14.0 g cm⁻³
Energy: -10.09 eV/atom
E above lowest polymorph: 2.04 kcal/mol of atoms

Record 17
Below is a relaxed Mo2OsRu crystal, with properties calculated at the PBE-GGA level.

a b c (Å): 2.7872 3.8717 5.5868
angles (deg): 90.00 90.00 90.00
Closest atoms and distances in Å follow each position.
Space group Pmm2 (No. 25)
Unique sites:
Mo (0.0000, 0.0000, 0.0000)  4 Ru 2.72, 2 Os 2.74-2.85, 6 Mo 2.79-2.84
Mo (0.5000, 0.5000, 0.2760)  4 Os 2.72, 2 Ru 2.74-2.85, 6 Mo 2.79-2.84
Os (0.0000, 0.0000, 0.5098)  6 Mo 2.72-2.85, 4 Ru 2.78, 2 Os 2.79
Ru (0.5000, 0.5000, 0.7661)  6 Mo 2.72-2.85, 4 Os 2.78, 2 Ru 2.79

Summary:
DFT formation energy: 0.14 eV/atom
Density: 13.3 g cm⁻³
Energy: -10.41 eV/atom
E above lowest polymorph: 1.94 kcal/mol of atoms

Record 18
Below is a relaxed MoOsRu2 crystal, with properties calculated at the PBE-GGA level.

a b c (Å): 5.4931 7.6977 2.7372
angles (deg): 90.00 90.00 90.00
Closest atoms and distances in Å follow each position.
Space group Cmmm (No. 65)
Unique sites:
Mo (0.0000, 0.0000, 0.0000)  8 Ru 2.73, 2 Mo 2.74, 2 Os 2.75
Os (0.0000, 0.5000, 0.0000)  8 Ru 2.73, 2 Os 2.74, 2 Mo 2.75
Ru (0.2500, 0.2500, 0.5000)  4 Mo 2.73, 4 Os 2.73, 4 Ru 2.74-2.75

Summary:
DFT formation energy: 0.05 eV/atom
Density: 14.0 g cm⁻³
Energy: -10.11 eV/atom
E above lowest polymorph: 1.66 kcal/mol of atoms

Record 19
Below is a relaxed Mo2OsRu crystal, with properties calculated at the PBE-GGA level.

a b c (Å): 3.9354 3.9354 7.7431
angles (deg): 90.00 90.00 90.00
Closest atoms and distances in Å follow each position.
Space group I4/mmm (No. 139)
Unique sites:
Mo (0.0000, 0.5000, 0.2500)  4 Ru 2.76, 4 Os 2.76, 4 Mo 2.78
Os (0.0000, 0.0000, 0.0000)  8 Mo 2.76, 4 Ru 2.78
Ru (0.0000, 0.0000, 0.5000)  8 Mo 2.76, 4 Os 2.78

Summary:
DFT formation energy: 0.06 eV/atom
Density: 13.4 g cm⁻³
Energy: -10.48 eV/atom
E above lowest polymorph: 0.12 kcal/mol of atoms

Record 20
Below is a relaxed Mo2OsRu crystal, with properties calculated at the PBE-GGA level.

a b c (Å): 3.9034 3.9034 17.3992
angles (deg): 90.00 90.00 90.00
Closest atoms and distances in Å follow each position.
Space group I-42d (No. 122)
Unique sites:
Mo (0.2489, 0.2500, 0.1250)  2 Os 2.57, 2 Ru 2.58, 4 Mo 2.75-2.77
Os (0.0000, 0.0000, 0.0000)  4 Mo 2.57, 4 Ru 2.76
Ru (0.0000, 0.0000, 0.5000)  4 Mo 2.58, 4 Os 2.76

Summary:
DFT formation energy: 0.80 eV/atom
Density: 12.1 g cm⁻³
Energy: -9.74 eV/atom
E above lowest polymorph: 17.19 kcal/mol of atoms